{
  "formula": "LiNi3O6",
  "functional": "meta-GGA SCAN",
  "state": "PBEsol geometry",
  "final_energy_ev_per_atom": -10.105,
  "crystal_system": "monoclinic",
  "lattice_angstrom": [[4.829, -0.007, 0.002], [-2.325, 4.232, 0.002], [-0.856, -1.444, 4.849]],
  "species": ["O", "O", "Ni", "O", "Ni", "O", "O", "Ni", "O", "Li"],
  "fractional_positions": [[0.926, 0.599, 0.805], [0.401, 0.074, 0.195], [0.000, 0.000, 0.000], [0.711, 0.711, 0.207], [0.332, 0.668, 0.000], [0.289, 0.289, 0.793], [0.074, 0.401, 0.195], [0.668, 0.332, 0.000], [0.599, 0.926, 0.805], [0.500, 0.500, 0.500]]
}


{
  "formula": "Li8Ni5O10",
  "functional": "meta-GGA SCAN",
  "state": "PBEsol geometry",
  "final_energy_ev_per_atom": -8.711,
  "crystal_system": "triclinic",
  "lattice_angstrom": [[5.371, -0.087, -0.048], [2.579, 5.063, -0.042], [-0.075, 2.978, 7.089]],
  "species": ["Li", "O", "O", "O", "O", "Ni", "O", "Li", "Li", "Ni", "O", "O", "Ni", "O", "Ni", "Ni", "O", "Li", "Li", "Li", "O", "Li", "Li"],
  "fractional_positions": [[0.305, 0.221, 0.934], [0.271, 0.268, 0.456], [0.869, 0.060, 0.637], [0.930, 0.322, 0.966], [0.551, 0.097, 0.161], [0.500, 0.500, 0.000], [0.682, 0.468, 0.253], [0.492, 0.791, 0.322], [0.120, 0.616, 0.503], [0.692, 0.106, 0.395], [0.070, 0.678, 0.034], [0.449, 0.903, 0.839], [0.308, 0.894, 0.605], [0.131, 0.940, 0.363], [0.098, 0.313, 0.208], [0.902, 0.687, 0.792], [0.729, 0.732, 0.544], [0.880, 0.384, 0.497], [0.948, 0.975, 0.143], [0.508, 0.209, 0.678], [0.318, 0.532, 0.747], [0.695, 0.779, 0.066], [0.052, 0.025, 0.857]]
}


{
  "formula": "LiNiO2",
  "functional": "meta-GGA SCAN",
  "state": "PBEsol geometry",
  "final_energy_ev_per_atom": -8.786,
  "crystal_system": "cubic",
  "lattice_angstrom": [[-2.247, 1.947, 1.874], [-0.439, -0.635, 3.428], [1.215, 2.283, 2.380]],
  "species": ["Ni", "Li", "O", "O"],
  "fractional_positions": [[0.500, 0.500, 0.500], [0.000, 0.000, 0.000], [0.250, 0.250, 0.250], [0.750, 0.750, 0.750]]
}


Number 1: V 9.90 A^3/atom, formation energy from raw total energies -1275 meV per atom. Number 2: V 8.46 A^3/atom, formation energy from raw total energies -1654 meV per atom. Number 3: V 7.67 A^3/atom, formation energy from raw total energies -1030 meV per atom.